(1)
A plane-wave DFT calculation with PBE was carried out for GdMgHgRh after structural relaxation.

Summary:
Formation enthalpy at 0 K: -449 meV/atom
Calculated total energy: -25.12 eV/f.u.

Cell lengths 6.9388, 6.9388, 6.9388 Å; angles 90.00, 90.00, 90.00 degrees
With the nearest neighbours (Å) after each atom.
Space group F-43m (No. 216)
Asymmetric unit:
Gd: 0.0000 0.0000 0.0000 x4  4 Hg 3.00, 4 Rh 3.00
Mg: 0.0000 0.0000 0.5000 x4  4 Hg 3.00, 4 Rh 3.00
Hg: 0.2500 0.2500 0.7500 x4  4 Gd 3.00, 4 Mg 3.00
Rh: 0.2500 0.2500 0.2500 x4  4 Gd 3.00, 4 Mg 3.00

=====

(2)
A plane-wave DFT calculation with PBE was carried out for GdMgHgSb after structural relaxation.

Summary:
Uncorrected formation energy: -0.444 eV/atom
Calculated total energy: -21.88 eV/f.u.

Cell lengths 7.4161, 7.4161, 7.4161 Å; angles 90.00, 90.00, 90.00 degrees
With the nearest neighbours (Å) after each atom.
Space group F-43m (No. 216)
Asymmetric unit:
Gd: 0.0000 0.0000 0.0000 x4  4 Hg 3.21, 4 Sb 3.21
Mg: 0.0000 0.0000 0.5000 x4  4 Hg 3.21, 4 Sb 3.21
Hg: 0.2500 0.2500 0.7500 x4  4 Gd 3.21, 4 Mg 3.21
Sb: 0.2500 0.2500 0.2500 x4  4 Mg 3.21, 4 Gd 3.21

=====

(3)
A plane-wave DFT calculation with PBE was carried out for GdMgScHg after structural relaxation.

Summary:
Formation enthalpy at 0 K: -248 meV/atom
Calculated total energy: -23.30 eV/f.u.

Cell lengths 7.3249, 7.3249, 7.3249 Å; angles 90.00, 90.00, 90.00 degrees
With the nearest neighbours (Å) after each atom.
Space group F-43m (No. 216)
Asymmetric unit:
Gd: 0.0000 0.0000 0.0000 x4  4 Mg 3.17, 4 Hg 3.17
Mg: 0.2500 0.2500 0.7500 x4  4 Gd 3.17, 4 Sc 3.17
Sc: 0.0000 0.0000 0.5000 x4  4 Hg 3.17, 4 Mg 3.17
Hg: 0.2500 0.2500 0.2500 x4  4 Gd 3.17, 4 Sc 3.17